No. 1
Entry from Alexandria via LeMat-Bulk: an optimized crystal structure of TbSc2Pd (PBE-GGA).

**DOS at the Fermi energy**: 5.59 states/eV per cell
**VASP energy**: -0.22139 Ha/atom
**Total magnetization**: 0.0 μB per cell
**ρ**: 6.39 Mg/m³

Cell: 3.391 3.391 8.022 Å, 90.00 90.00 90.00°
Space group P4/mmm (No. 123)
Inequivalent atoms, fractional coordinates:
Tb: 0.000 0.000 0.000 x1
Sc: 0.500 0.500 0.303 x2
Pd: 0.000 0.000 0.500 x1

---

No. 2
Entry from Alexandria via LeMat-Bulk: an optimized crystal structure of P2OsClO (PBE-GGA).

**DOS at the Fermi energy**: 3.32 states/eV per cell
**VASP energy**: -0.17466 Ha/atom
**Total magnetization**: 0.0 μB per cell
**ρ**: 7.07 Mg/m³
**Raw formation energy**: 1.02 eV/atom

Cell: 3.800 3.800 4.937 Å, 90.00 90.00 90.00°
Space group P4/mmm (No. 123)
Inequivalent atoms, fractional coordinates:
P: 0.000 0.500 0.000 x2
Os: 0.000 0.000 0.500 x1
Cl: 0.500 0.500 0.500 x1
O: 0.500 0.500 0.000 x1

---

No. 3
Entry from Alexandria via LeMat-Bulk: an optimized crystal structure of TlAs2AuBr (PBE-GGA).

**DOS at the Fermi energy**: 4.99 states/eV per cell
**VASP energy**: -0.10879 Ha/atom
**Total magnetization**: 1.4 μB per cell
**ρ**: 6.40 Mg/m³
**Raw formation energy**: 0.36 eV/atom

Cell: 4.946 4.946 6.700 Å, 90.00 90.00 90.00°
Space group P4/mmm (No. 123)
Inequivalent atoms, fractional coordinates:
Tl: 0.000 0.000 0.000 x1
As: 0.000 0.500 0.500 x2
Au: 0.500 0.500 0.500 x1
Br: 0.500 0.500 0.000 x1

---

No. 4
Entry from Alexandria via LeMat-Bulk: an optimized crystal structure of Sm2IrSe (PBE-GGA).

**DOS at the Fermi energy**: 3.20 states/eV per cell
**VASP energy**: -0.24504 Ha/atom
**Total magnetization**: 0.0 μB per cell
**ρ**: 9.23 Mg/m³
**Raw formation energy**: -1.22 eV/atom

Cell: 4.106 5.870 8.535 Å, 90.00 90.00 90.00°
Space group Pmmn (No. 59, origin choice 2)
Inequivalent atoms, fractional coordinates:
Sm: 0.250 0.250 0.126 x2
Sm: 0.250 0.250 0.665 x2
Ir: 0.250 0.750 0.111 x2
Se: 0.250 0.750 0.603 x2

---

No. 5
Entry from Alexandria via LeMat-Bulk: an optimized crystal structure of Pm2ThTl2 (PBE-GGA).

**DOS at the Fermi energy**: 11.73 states/eV per cell
**VASP energy**: -0.16223 Ha/atom
**Total magnetization**: 0.0 μB per cell
**ρ**: 9.98 Mg/m³

Cell: 5.594 15.469 3.579 Å, 90.00 90.00 90.00°
Space group Cmmm (No. 65)
Inequivalent atoms, fractional coordinates:
Pm: 0.000 0.134 0.000 x4
Th: 0.000 0.500 0.000 x2
Tl: 0.000 0.320 0.500 x4

---

No. 6
Entry from Alexandria via LeMat-Bulk: an optimized crystal structure of CsRb3Zr (PBE-GGA).

**DOS at the Fermi energy**: 5.16 states/eV per cell
**VASP energy**: -0.04323 Ha/atom
**Total magnetization**: 4.1 μB per cell
**ρ**: 1.87 Mg/m³

Cell: 7.523 7.523 7.523 Å, 90.00 90.00 90.00°
Space group Pm-3m (No. 221)
Inequivalent atoms, fractional coordinates:
Cs: 0.000 0.000 0.000 x1
Rb: 0.000 0.000 0.500 x3
Zr: 0.500 0.500 0.500 x1

---

No. 7
Entry from Alexandria via LeMat-Bulk: an optimized crystal structure of LaScOs (PBE-GGA).

**DOS at the Fermi energy**: 11.97 states/eV per cell
**VASP energy**: -0.28461 Ha/atom
**Total magnetization**: 0.0 μB per cell
**ρ**: 8.93 Mg/m³

Cell: 4.375 12.842 7.425 Å, 90.00 90.00 90.00°
Space group Amm2 (No. 38)
Inequivalent atoms, fractional coordinates:
La: 0.000 0.000 0.000 x2
La: 0.000 0.210 0.370 x4
Sc: 0.500 0.000 0.334 x2
Sc: 0.500 0.123 0.703 x4
Os: 0.000 0.000 0.580 x2
Os: 0.500 0.167 0.080 x4

---

No. 8
Entry from Alexandria via LeMat-Bulk: an optimized crystal structure of PrPaHg4 (PBE-GGA).

**DOS at the Fermi energy**: 32.85 states/eV per cell
**VASP energy**: -0.09456 Ha/atom
**Total magnetization**: 7.6 μB per cell
**ρ**: 12.82 Mg/m³

Cell: 8.474 8.474 8.474 Å, 90.00 90.00 90.00°
Space group F-43m (No. 216)
Inequivalent atoms, fractional coordinates:
Pr: 0.000 0.000 0.000 x4
Pa: 0.250 0.250 0.250 x4
Hg: 0.125 0.125 0.625 x16

---

No. 9
Entry from Alexandria via LeMat-Bulk: an optimized crystal structure of AlFe2GePb (PBE-GGA).

**DOS at the Fermi energy**: 4.49 states/eV per cell
**VASP energy**: -0.15795 Ha/atom
**Total magnetization**: 5.5 μB per cell
**ρ**: 5.29 Mg/m³

Cell: 4.949 4.949 5.360 Å, 90.00 90.00 90.00°
Space group P4/mmm (No. 123)
Inequivalent atoms, fractional coordinates:
Al: 0.000 0.000 0.000 x1
Fe: 0.000 0.500 0.500 x2
Ge: 0.500 0.500 0.000 x1
Pb: 0.500 0.500 0.500 x1

---

No. 10
Entry from Alexandria via LeMat-Bulk: an optimized crystal structure of SmEu2Dy (PBE-GGA).

**DOS at the Fermi energy**: 20.45 states/eV per cell
**VASP energy**: -0.26864 Ha/atom
**Total magnetization**: 58.1 μB per cell
**ρ**: 7.12 Mg/m³

Cell: 8.317 8.317 8.317 Å, 90.00 90.00 90.00°
Space group Fm-3m (No. 225)
Inequivalent atoms, fractional coordinates:
Sm: 0.000 0.000 0.000 x4
Eu: 0.250 0.250 0.250 x8
Dy: 0.000 0.000 0.500 x4

---

No. 11
Entry from Alexandria via LeMat-Bulk: an optimized crystal structure of CaLa4Pa3N8 (PBE-GGA).

**DOS at the Fermi energy**: 20.97 states/eV per cell
**VASP energy**: -0.32350 Ha/atom
**Total magnetization**: 0.0 μB per cell
**ρ**: 8.70 Mg/m³
**Raw formation energy**: -1.50 eV/atom

Cell: 7.1726 7.1726 18.0127 Å, 90.00 90.00 120.00°
Space group R-3m (No. 166, hexagonal axes)
Inequivalent atoms, fractional coordinates:
Ca: 0.0000 0.0000 0.0000 x3
La: 0.0000 0.0000 0.5000 x3
La: 0.0000 0.5000 0.5000 x9
Pa: 0.0000 0.5000 0.0000 x9
N: 0.0000 0.0000 0.2657 x6
N: 0.0225 0.5113 0.2636 x18

---

No. 12
Entry from Alexandria via LeMat-Bulk: an optimized crystal structure of HoZnRu (PBE-GGA).

**DOS at the Fermi energy**: 6.28 states/eV per cell
**VASP energy**: -0.19769 Ha/atom
**Total magnetization**: 0.0 μB per cell
**ρ**: 9.81 Mg/m³

Cell: 6.924 4.027 8.048 Å, 90.00 90.00 90.00°
Space group Pnma (No. 62)
Inequivalent atoms, fractional coordinates:
Ho: 0.029 0.250 0.180 x4
Zn: 0.144 0.250 0.564 x4
Ru: 0.234 0.750 0.373 x4

---

No. 13
Entry from Alexandria via LeMat-Bulk: an optimized crystal structure of LaHf2ZnNi (PBE-GGA).

**DOS at the Fermi energy**: 10.24 states/eV per cell
**VASP energy**: -0.16473 Ha/atom
**Total magnetization**: 0.0 μB per cell
**ρ**: 7.48 Mg/m³

Cell: 5.163 5.163 5.164 Å, 90.00 90.00 90.00°
Space group P4/mmm (No. 123)
Inequivalent atoms, fractional coordinates:
La: 0.000 0.000 0.000 x1
Hf: 0.000 0.500 0.000 x2
Zn: 0.000 0.000 0.500 x1
Ni: 0.500 0.500 0.500 x1

---

No. 14
Entry from Alexandria via LeMat-Bulk: an optimized crystal structure of PuTl5Te4 (PBE-GGA).

**DOS at the Fermi energy**: 27.33 states/eV per cell
**VASP energy**: -0.15920 Ha/atom
**Total magnetization**: 10.0 μB per cell
**ρ**: 7.91 Mg/m³
**Raw formation energy**: -0.46 eV/atom

Cell: 19.551 4.697 8.918 Å, 90.00 114.40 90.00°
Space group C2/m (No. 12)
Inequivalent atoms, fractional coordinates:
Pu: 0.000 0.000 0.000 x2
Tl: 0.000 0.000 0.500 x2
Tl: 0.147 0.500 0.511 x4
Tl: 0.209 0.500 0.090 x4
Te: 0.041 0.500 0.816 x4
Te: 0.163 0.000 0.280 x4

---

No. 15
Entry from Alexandria via LeMat-Bulk: an optimized crystal structure of IrW (PBE-GGA).

**DOS at the Fermi energy**: 5.20 states/eV per cell
**VASP energy**: -0.37896 Ha/atom
**Total magnetization**: 0.0 μB per cell
**ρ**: 17.34 Mg/m³

Cell: 3.9502 3.9502 5.3313 Å, 90.00 90.00 120.00°
Space group P6_3/mmc (No. 194)
Inequivalent atoms, fractional coordinates:
Ir: 0.3333 0.6667 0.2500 x2
W: 0.0000 0.0000 0.0000 x2

---

No. 16
Entry from Alexandria via LeMat-Bulk: an optimized crystal structure of TbPr2I2N2 (PBE-GGA).

**DOS at the Fermi energy**: 3.71 states/eV per cell
**VASP energy**: -0.22278 Ha/atom
**Total magnetization**: 2.0 μB per cell
**ρ**: 5.98 Mg/m³
**Raw formation energy**: -1.21 eV/atom

Cell: 4.536 4.536 19.502 Å, 90.00 90.00 90.00°
Space group I4/mmm (No. 139)
Inequivalent atoms, fractional coordinates:
Tb: 0.000 0.000 0.000 x2
Pr: 0.000 0.000 0.423 x4
I: 0.000 0.000 0.164 x4
N: 0.000 0.500 0.000 x4

---

No. 17
Entry from Alexandria via LeMat-Bulk: an optimized crystal structure of Hf2Ti8Pb3 (PBE-GGA).

**DOS at the Fermi energy**: 54.57 states/eV per cell
**VASP energy**: -0.25684 Ha/atom
**Total magnetization**: 0.0 μB per cell
**ρ**: 8.49 Mg/m³

Cell: 5.4801 5.4801 30.7214 Å, 90.00 90.00 120.00°
Space group R-3m (No. 166, hexagonal axes)
Inequivalent atoms, fractional coordinates:
Hf: 0.0000 0.0000 0.1390 x6
Ti: 0.0000 0.0000 0.2242 x6
Ti: 0.0088 0.5044 0.7284 x18
Pb: 0.0000 0.0000 0.3140 x6
Pb: 0.0000 0.0000 0.5000 x3

---

No. 18
Entry from Alexandria via LeMat-Bulk: an optimized crystal structure of YAs2S (PBE-GGA).

**DOS at the Fermi energy**: 8.04 states/eV per cell
**VASP energy**: -0.18495 Ha/atom
**Total magnetization**: 0.0 μB per cell
**ρ**: 3.90 Mg/m³
**Raw formation energy**: -0.06 eV/atom

Cell: 5.660 5.660 14.391 Å, 90.00 90.00 90.00°
Space group I-42d (No. 122)
Inequivalent atoms, fractional coordinates:
Y: 0.000 0.000 0.000 x4
As: 0.196 0.250 0.625 x8
S: 0.000 0.000 0.500 x4

---

No. 19
Entry from Alexandria via LeMat-Bulk: an optimized crystal structure of MgRe (PBE-GGA).

**DOS at the Fermi energy**: 5.41 states/eV per cell
**VASP energy**: -0.21865 Ha/atom
**Total magnetization**: 0.0 μB per cell
**ρ**: 8.16 Mg/m³

Cell: 4.5607 4.5607 4.7592 Å, 90.00 90.00 120.00°
Space group P6_3/mmc (No. 194)
Inequivalent atoms, fractional coordinates:
Mg: 0.3333 0.6667 0.2500 x2
Re: 0.0000 0.0000 0.0000 x2

---

No. 20
Entry from Alexandria via LeMat-Bulk: an optimized crystal structure of Ho3NbCl2O6 (PBE-GGA).

**DOS at the Fermi energy**: 0.00 states/eV per cell
**VASP energy**: -0.27663 Ha/atom
**Total magnetization**: 0.0 μB per cell
**ρ**: 6.19 Mg/m³
**Raw formation energy**: -2.76 eV/atom

Cell: 11.450 6.541 5.505 Å, 90.00 100.96 90.00°
Space group C2/m (No. 12)
Inequivalent atoms, fractional coordinates:
Ho: 0.000 0.000 0.000 x2
Ho: 0.250 0.250 0.500 x4
Nb: 0.000 0.500 0.500 x2
Cl: 0.205 0.000 0.845 x4
O: 0.059 0.261 0.295 x8
O: 0.171 0.500 0.671 x4